## Y4Ho5Sc4 (GGA-PBE)

Data for crystalline Y4Ho5Sc4 at its relaxed geometry.

Geometry as POSCAR:
```
Y4Ho5Sc4
1.0
-6.233 6.233 2.449
6.233 -6.233 2.449
6.233 6.233 -2.449
Y Ho Sc
4 5 4
Direct
0.080 0.381 0.460 Y
0.381 0.920 0.301 Y
0.619 0.080 0.699 Y
0.920 0.619 0.540 Y
0.000 0.000 0.000 Ho
0.309 0.543 0.852 Ho
0.457 0.309 0.767 Ho
0.543 0.691 0.233 Ho
0.691 0.457 0.148 Ho
0.155 0.768 0.923 Sc
0.232 0.155 0.386 Sc
0.768 0.845 0.614 Sc
0.845 0.232 0.077 Sc
```

- mass density (kg/m3) = 5936
- ΔH_f (0 K) (eV per formula unit) = 0.63
- calculated volume (Å³/atom) = 29.268
- SG = I4/m (87)


## AcPuMnN3 (GGA-PBE)

Data for crystalline AcPuMnN3 at its relaxed geometry.

Geometry as POSCAR:
```
AcPuMnN3
1.0
7.436 0.000 0.000
0.000 3.501 0.000
-1.624 0.000 7.447
Ac Pu Mn N
2 2 2 6
Direct
0.209 0.250 0.192 Ac
0.791 0.750 0.808 Ac
0.172 0.250 0.651 Pu
0.828 0.750 0.349 Pu
0.408 0.750 0.923 Mn
0.592 0.250 0.077 Mn
0.139 0.750 0.432 N
0.153 0.750 0.859 N
0.491 0.250 0.834 N
0.509 0.750 0.166 N
0.847 0.250 0.141 N
0.861 0.250 0.568 N
```

- ΔE_f (raw) (eV per atom) = -0.880
- mass density (kg/m3) = 9730
- calculated volume (Å³/atom) = 16.155
- SG = P2_1/m (11)


## Sc5Ru2O12 (GGA-PBE)

Data for crystalline Sc5Ru2O12 at its relaxed geometry.

Geometry as POSCAR:
```
Sc5Ru2O12
1.0
5.871 -2.741 0.000
5.871 2.741 0.000
-2.129 0.000 6.800
Sc Ru O
5 2 12
Direct
0.000 0.000 0.000 Sc
0.296 0.296 0.139 Sc
0.313 0.313 0.690 Sc
0.687 0.687 0.310 Sc
0.704 0.704 0.861 Sc
0.223 0.777 0.500 Ru
0.777 0.223 0.500 Ru
0.013 0.013 0.293 O
0.079 0.573 0.395 O
0.102 0.598 0.936 O
0.402 0.898 0.064 O
0.427 0.921 0.605 O
0.497 0.497 0.687 O
0.503 0.503 0.313 O
0.573 0.079 0.395 O
0.598 0.102 0.936 O
0.898 0.402 0.064 O
0.921 0.427 0.605 O
0.987 0.987 0.707 O
```

- ΔE_f (raw) (eV per atom) = -2.593
- mass density (kg/m3) = 4696
- calculated volume (Å³/atom) = 11.518
- SG = C2/m (12)


## MgBi2Rh (GGA-PBE)

Data for crystalline MgBi2Rh at its relaxed geometry.

Geometry as POSCAR:
```
MgBi2Rh
1.0
9.274 0.000 0.000
0.000 9.274 0.000
0.000 0.000 5.092
Mg Bi Rh
4 8 4
Direct
0.000 0.000 0.000 Mg
0.000 0.500 0.250 Mg
0.500 0.000 0.750 Mg
0.500 0.500 0.500 Mg
0.137 0.750 0.625 Bi
0.250 0.137 0.375 Bi
0.250 0.363 0.875 Bi
0.363 0.750 0.125 Bi
0.637 0.250 0.125 Bi
0.750 0.637 0.875 Bi
0.750 0.863 0.375 Bi
0.863 0.250 0.625 Bi
0.000 0.000 0.500 Rh
0.000 0.500 0.750 Rh
0.500 0.000 0.250 Rh
0.500 0.500 0.000 Rh
```

- mass density (kg/m3) = 8267
- ΔH_f (0 K) (eV per formula unit) = -0.42
- calculated volume (Å³/atom) = 27.375
- SG = I-42d (122)


## Pm3GaSe (GGA-PBE)

Data for crystalline Pm3GaSe at its relaxed geometry.

Geometry as POSCAR:
```
Pm3GaSe
1.0
8.816 0.000 0.000
0.000 4.094 0.000
0.000 0.000 15.821
Pm Ga Se
12 4 4
Direct
0.014 0.250 0.110 Pm
0.151 0.250 0.553 Pm
0.159 0.750 0.288 Pm
0.341 0.250 0.788 Pm
0.349 0.750 0.053 Pm
0.486 0.750 0.610 Pm
0.514 0.250 0.390 Pm
0.651 0.250 0.947 Pm
0.659 0.750 0.212 Pm
0.841 0.250 0.712 Pm
0.849 0.750 0.447 Pm
0.986 0.750 0.890 Pm
0.127 0.750 0.702 Ga
0.373 0.250 0.202 Ga
0.627 0.750 0.798 Ga
0.873 0.250 0.298 Ga
0.198 0.250 0.953 Se
0.302 0.750 0.453 Se
0.698 0.250 0.547 Se
0.802 0.750 0.047 Se
```

- ΔE_f (raw) (eV per atom) = -0.926
- mass density (kg/m3) = 6789
- calculated volume (Å³/atom) = 28.552
- SG = Pnma (62)


## LiBeTeN2 (GGA-PBE)

Data for crystalline LiBeTeN2 at its relaxed geometry.

Geometry as POSCAR:
```
LiBeTeN2
1.0
3.643 0.000 0.000
0.000 3.643 0.000
0.000 0.000 5.211
Li Be Te N
1 1 1 2
Direct
0.000 0.000 0.000 Li
0.500 0.500 0.500 Be
0.000 0.000 0.500 Te
0.000 0.500 0.000 N
0.500 0.000 0.000 N
```

- ΔE_f (raw) (eV per atom) = 1.710
- offset from the most stable computed form (meV/atom) = 745
- mass density (kg/m3) = 4119
- calculated volume (Å³/atom) = 13.834
- SG = P4/mmm (123)


## LaAgSn (GGA-PBE)

Data for crystalline LaAgSn at its relaxed geometry.

Geometry as POSCAR:
```
LaAgSn
1.0
4.533 0.000 0.000
0.000 4.533 0.000
0.000 0.000 7.831
La Ag Sn
2 2 2
Direct
0.250 0.750 0.000 La
0.750 0.250 0.000 La
0.250 0.250 0.308 Ag
0.750 0.750 0.692 Ag
0.250 0.250 0.665 Sn
0.750 0.750 0.335 Sn
```

- mass density (kg/m3) = 7542
- ΔH_f (0 K) (eV per formula unit) = -0.35
- calculated volume (Å³/atom) = 26.824
- SG = P4/nmm (129)


## Ta2Mn2Pd (GGA-PBE)

Data for crystalline Ta2Mn2Pd at its relaxed geometry.

Geometry as POSCAR:
```
Ta2Mn2Pd
1.0
6.839 0.000 0.000
0.000 6.839 0.000
0.000 0.000 3.179
Ta Mn Pd
4 4 2
Direct
0.192 0.308 0.000 Ta
0.308 0.808 0.000 Ta
0.692 0.192 0.000 Ta
0.808 0.692 0.000 Ta
0.110 0.610 0.500 Mn
0.390 0.110 0.500 Mn
0.610 0.890 0.500 Mn
0.890 0.390 0.500 Mn
0.000 0.000 0.500 Pd
0.500 0.500 0.500 Pd
```

- mass density (kg/m3) = 12914
- ΔH_f (0 K) (eV per formula unit) = -0.07
- calculated volume (Å³/atom) = 14.870
- SG = P4/mbm (127)


## AcLa2Hg (GGA-PBE)

Data for crystalline AcLa2Hg at its relaxed geometry.

Geometry as POSCAR:
```
AcLa2Hg
1.0
3.909 0.000 0.000
-1.954 3.385 0.000
0.000 0.000 33.461
Ac La Hg
3 6 3
Direct
0.000 0.000 0.000 Ac
0.333 0.667 0.667 Ac
0.667 0.333 0.333 Ac
0.000 0.000 0.573 La
0.000 0.000 0.761 La
0.333 0.667 0.239 La
0.333 0.667 0.428 La
0.667 0.333 0.095 La
0.667 0.333 0.906 La
0.000 0.000 0.167 Hg
0.333 0.667 0.834 Hg
0.667 0.333 0.500 Hg
```

- offset from the most stable computed form (meV/atom) = 105
- mass density (kg/m3) = 7938
- ΔH_f (0 K) (eV per formula unit) = -0.58
- calculated volume (Å³/atom) = 36.891
- SG = R3m (160)


## PrGe2Se4 (GGA-PBE)

Data for crystalline PrGe2Se4 at its relaxed geometry.

Geometry as POSCAR:
```
PrGe2Se4
1.0
7.803 0.000 0.000
0.000 7.803 0.000
0.000 0.000 6.700
Pr Ge Se
2 4 8
Direct
0.000 0.000 0.000 Pr
0.500 0.500 0.500 Pr
0.000 0.500 0.250 Ge
0.000 0.500 0.750 Ge
0.500 0.000 0.250 Ge
0.500 0.000 0.750 Ge
0.174 0.306 0.500 Se
0.194 0.674 0.000 Se
0.306 0.826 0.500 Se
0.326 0.194 0.000 Se
0.674 0.806 0.000 Se
0.694 0.174 0.500 Se
0.806 0.326 0.000 Se
0.826 0.694 0.500 Se
```

- ΔE_f (raw) (eV per atom) = -0.526
- mass density (kg/m3) = 4901
- calculated volume (Å³/atom) = 29.139
- SG = I4/m (87)


## U3Ni3Sn2Sb2 (GGA-PBE)

Data for crystalline U3Ni3Sn2Sb2 at its relaxed geometry.

Geometry as POSCAR:
```
U3Ni3Sn2Sb2
1.0
-4.683 4.683 4.683
4.683 -4.683 4.683
4.683 4.683 -4.683
U Ni Sn Sb
6 6 4 4
Direct
0.125 0.875 0.250 U
0.250 0.125 0.875 U
0.375 0.625 0.750 U
0.625 0.750 0.375 U
0.750 0.375 0.625 U
0.875 0.250 0.125 U
0.124 0.750 0.874 Ni
0.250 0.626 0.376 Ni
0.376 0.250 0.626 Ni
0.626 0.376 0.250 Ni
0.750 0.874 0.124 Ni
0.874 0.124 0.750 Ni
0.000 0.170 0.500 Sn
0.170 0.500 0.000 Sn
0.330 0.330 0.330 Sn
0.500 0.000 0.170 Sn
0.000 0.666 0.500 Sb
0.500 0.000 0.666 Sb
0.666 0.500 0.000 Sb
0.834 0.834 0.834 Sb
```

- ΔE_f (raw) (eV per atom) = -0.326
- mass density (kg/m3) = 11082
- calculated volume (Å³/atom) = 20.545
- SG = I2_13 (199)


## Rb2NpRe2N6 (GGA-PBE)

Data for crystalline Rb2NpRe2N6 at its relaxed geometry.

Geometry as POSCAR:
```
Rb2NpRe2N6
1.0
3.124 1.804 6.162
-3.124 1.804 6.162
0.000 -3.607 6.162
Rb Np Re N
2 1 2 6
Direct
0.222 0.222 0.222 Rb
0.778 0.778 0.778 Rb
0.000 0.000 0.000 Np
0.428 0.428 0.428 Re
0.572 0.572 0.572 Re
0.242 0.242 0.726 N
0.242 0.726 0.242 N
0.274 0.758 0.758 N
0.726 0.242 0.242 N
0.758 0.274 0.758 N
0.758 0.758 0.274 N
```

- ΔE_f (raw) (eV per atom) = -0.381
- mass density (kg/m3) = 6890
- calculated volume (Å³/atom) = 18.940
- SG = R-3m (166)


## AlCo2C (GGA-PBE)

Data for crystalline AlCo2C at its relaxed geometry.

Geometry as POSCAR:
```
AlCo2C
1.0
5.391 0.000 0.000
0.000 5.391 0.000
0.000 0.000 5.391
Al Co C
4 8 4
Direct
0.000 0.000 0.000 Al
0.000 0.500 0.500 Al
0.500 0.000 0.500 Al
0.500 0.500 0.000 Al
0.250 0.250 0.250 Co
0.250 0.250 0.750 Co
0.250 0.750 0.250 Co
0.250 0.750 0.750 Co
0.750 0.250 0.250 Co
0.750 0.250 0.750 Co
0.750 0.750 0.250 Co
0.750 0.750 0.750 Co
0.000 0.000 0.500 C
0.000 0.500 0.000 C
0.500 0.000 0.000 C
0.500 0.500 0.500 C
```

- mass density (kg/m3) = 6649
- ΔH_f (0 K) (eV per formula unit) = 2.82
- calculated volume (Å³/atom) = 9.793
- SG = Fm-3m (225)


## Y2Zn3CrNi12 (GGA-PBE)

Data for crystalline Y2Zn3CrNi12 at its relaxed geometry.

Geometry as POSCAR:
```
Y2Zn3CrNi12
1.0
3.001 1.733 8.476
-3.001 1.733 8.476
0.000 -3.465 8.476
Y Zn Cr Ni
2 3 1 12
Direct
0.152 0.152 0.152 Y
0.848 0.848 0.848 Y
0.000 0.500 0.500 Zn
0.500 0.000 0.500 Zn
0.500 0.500 0.000 Zn
0.500 0.500 0.500 Cr
0.079 0.079 0.686 Ni
0.079 0.686 0.079 Ni
0.147 0.576 0.576 Ni
0.314 0.921 0.921 Ni
0.424 0.424 0.853 Ni
0.424 0.853 0.424 Ni
0.576 0.147 0.576 Ni
0.576 0.576 0.147 Ni
0.686 0.079 0.079 Ni
0.853 0.424 0.424 Ni
0.921 0.314 0.921 Ni
0.921 0.921 0.314 Ni
```

- mass density (kg/m3) = 7098
- ΔH_f (0 K) (eV per formula unit) = 2.25
- calculated volume (Å³/atom) = 14.691
- SG = R-3m (166)


## SnC2IO (GGA-PBE)

Data for crystalline SnC2IO at its relaxed geometry.

Geometry as POSCAR:
```
SnC2IO
1.0
4.351 0.000 0.000
0.000 4.351 0.000
0.000 0.000 4.423
Sn C I O
1 2 1 1
Direct
0.000 0.000 0.000 Sn
0.000 0.500 0.500 C
0.500 0.000 0.500 C
0.500 0.500 0.000 I
0.000 0.000 0.500 O
```

- ΔE_f (raw) (eV per atom) = 2.266
- mass density (kg/m3) = 5666
- calculated volume (Å³/atom) = 16.744
- SG = P4/mmm (123)


## Pr3P5Pd6 (GGA-PBE)

Data for crystalline Pr3P5Pd6 at its relaxed geometry.

Geometry as POSCAR:
```
Pr3P5Pd6
1.0
4.048 0.000 0.000
0.000 12.557 0.000
0.000 0.000 10.031
Pr P Pd
6 10 12
Direct
0.250 0.091 0.246 Pr
0.250 0.409 0.246 Pr
0.250 0.750 0.259 Pr
0.750 0.250 0.741 Pr
0.750 0.591 0.754 Pr
0.750 0.909 0.754 Pr
0.250 0.081 0.849 P
0.250 0.419 0.849 P
0.250 0.626 0.522 P
0.250 0.750 0.872 P
0.250 0.874 0.522 P
0.750 0.126 0.478 P
0.750 0.250 0.128 P
0.750 0.374 0.478 P
0.750 0.581 0.151 P
0.750 0.919 0.151 P
0.250 0.059 0.607 Pd
0.250 0.250 0.479 Pd
0.250 0.250 0.988 Pd
0.250 0.441 0.607 Pd
0.250 0.580 0.009 Pd
0.250 0.920 0.009 Pd
0.750 0.080 0.991 Pd
0.750 0.420 0.991 Pd
0.750 0.559 0.393 Pd
0.750 0.750 0.012 Pd
0.750 0.750 0.521 Pd
0.750 0.941 0.393 Pd
```

- mass density (kg/m3) = 7921
- ΔH_f (0 K) (eV per formula unit) = -13.23
- calculated volume (Å³/atom) = 18.210
- SG = Pmmn (59)


## Ta2ReBr (GGA-PBE)

Data for crystalline Ta2ReBr at its relaxed geometry.

Geometry as POSCAR:
```
Ta2ReBr
1.0
11.560 0.000 0.000
0.000 3.194 0.000
-0.906 0.000 4.246
Ta Re Br
4 2 2
Direct
0.000 0.000 0.000 Ta
0.205 0.000 0.606 Ta
0.500 0.500 0.000 Ta
0.705 0.500 0.606 Ta
0.028 0.500 0.529 Re
0.528 0.000 0.529 Re
0.293 0.500 0.135 Br
0.793 0.000 0.135 Br
```

- ΔE_f (raw) (eV per atom) = 0.517
- offset from the most stable computed form (meV/atom) = 338
- mass density (kg/m3) = 13301
- calculated volume (Å³/atom) = 19.600
- SG = Cm (8)